Computed, not measured: a relaxed NaLaF3 crystal at the GGA-PBE level of DFT.

POSCAR file:
```
NaLaF3
1.0
4.769 0.000 0.000
0.000 4.769 0.000
0.000 0.000 4.769
Na La F
1 1 3
Direct
0.000 0.000 0.000
0.500 0.500 0.500
0.000 0.500 0.500
0.500 0.000 0.500
0.500 0.500 0.000
```

Output
raw formation energy = -297 kJ/mol of atoms
magnetic moment = 0.00 μB/f.u.
energy relative to the lowest polymorph listed for this composition = 79 meV/atom